TbTm3Pd12 | the Alexandria database | PBE | optimized geometry; final energy = -94.8 eV/cell; V = 17.28 A^3/atom; energy of formation from the pure elements = -0.900 eV/atom
1.0
4.099 0.000 0.000
0.000 4.099 0.000
0.000 0.000 16.459
Pd Tm Tb
12 3 1
Cartesian
0.000 2.049 2.092
2.049 0.000 6.181
0.000 2.049 14.367
2.049 0.000 2.092
2.049 2.049 12.326
2.049 2.049 4.133
2.049 2.049 0.000
2.049 0.000 10.278
0.000 2.049 6.181
0.000 2.049 10.278
2.049 2.049 8.230
2.049 0.000 14.367
0.000 0.000 8.230
0.000 0.000 4.140
0.000 0.000 12.319
0.000 0.000 0.000

AgTeMo3 | the Alexandria database | PBE | optimized geometry; ΔE_f (raw) = 1940.1 meV/atom; final energy = -28.8 eV/cell; V = 23.38 A^3/atom; distance to the lowest polymorph of the same formula = 0 meV per atom
1.0
4.890 0.000 0.000
0.000 4.890 0.000
0.000 0.000 4.890
Mo Te Ag
3 1 1
Cartesian
0.000 0.000 2.445
0.000 2.445 0.000
2.445 0.000 0.000
0.000 0.000 0.000
2.445 2.445 2.445